Entry 1:
Below is a geometry-optimized Tb2HoAl2 structure, with properties calculated at the PBE-GGA level.

Structure (POSCAR):
```
Tb2HoAl2
1.0
-3.0199 0.6499 1.7476
0.8452 -4.5637 3.1577
6.5563 8.5356 8.1554
Tb Ho Al
4 2 4
Direct
0.7500 0.1537 0.1129
0.7500 0.7410 0.4609
0.2500 0.8463 0.8871
0.2500 0.2590 0.5391
0.2500 0.6849 0.2364
0.7500 0.3151 0.7636
0.7500 0.2101 0.3404
0.2500 0.3495 0.9542
0.7500 0.6505 0.0458
0.2500 0.7899 0.6596
```

Formation energy from the elements (meV/atom): -120

Entry 2:
Below is a geometry-optimized TlAu3 structure, with properties calculated at the PBE-GGA level.

Structure (POSCAR):
```
TlAu3
1.0
-0.9653 -4.8086 2.2178
-0.2512 -3.9359 -3.6632
3.5530 3.9147 1.0123
Au Tl
3 1
Direct
0.2500 0.7500 0.5000
0.5000 0.5000 0.0000
0.7500 0.2500 0.5000
0.0000 0.0000 0.0000
```

Formation energy from the elements (meV/atom): 83

Entry 3:
Below is a geometry-optimized Ca2ZnMo structure, with properties calculated at the PBE-GGA level.

Structure (POSCAR):
```
Ca2ZnMo
1.0
-1.5918 -0.8285 6.8474
0.5248 -4.4478 -3.3827
2.2725 -1.0897 1.7769
Ca Zn Mo
2 1 1
Direct
0.0000 0.0000 0.0000
0.5000 0.0000 0.5000
0.5000 0.5000 0.0000
0.0000 0.5000 0.5000
```

Formation energy from the elements (meV/atom): 560

Entry 4:
Below is a geometry-optimized Nd2CuC structure, with properties calculated at the PBE-GGA level.

Structure (POSCAR):
```
Nd2CuC
1.0
-0.2753 -1.9016 3.0862
2.9889 -0.8336 1.8942
0.1267 6.4499 6.1268
Nd Cu C
2 1 1
Direct
0.8879 0.8879 0.3363
0.1121 0.1121 0.6637
0.0000 0.0000 0.0000
0.5000 0.5000 0.5000
```

Formation energy from the elements (meV/atom): 293

Entry 5:
Below is a geometry-optimized CsZnP2Se structure, with properties calculated at the PBE-GGA level.

Structure (POSCAR):
```
CsZnP2Se
1.0
4.3275 0.0618 -0.0096
-2.0515 4.6272 0.0007
-0.0797 -1.9896 7.3781
P Cs Zn Se
2 1 1 1
Direct
0.6586 0.3227 0.8809
0.0380 0.1696 0.7574
0.2866 0.6503 0.4507
0.9152 0.8496 0.9550
0.5309 0.1080 0.1260
```

Uncorrected formation energy (meV per atom): -353

Entry 6:
Below is a geometry-optimized Li2CaTi3O8 structure, with properties calculated at the PBE-GGA level.

Structure (POSCAR):
```
Li2CaTi3O8
1.0
-5.6992 0.3476 2.0146
-4.6081 -0.0605 -3.9271
-3.6386 -5.0689 -0.3200
Li O Ca Ti
2 8 1 3
Direct
0.1093 0.1093 0.6721
0.5028 0.5028 0.4916
0.7448 0.7448 0.2005
0.7348 0.7348 0.7955
0.7448 0.3099 0.2005
0.3099 0.7448 0.2005
0.2638 0.2638 0.2086
0.2483 0.7057 0.7976
0.7057 0.2483 0.7976
0.2483 0.2483 0.7976
0.8763 0.8763 0.3710
0.0054 0.4991 0.9963
0.4991 0.4991 0.9963
0.4991 0.0054 0.9963
```

Uncorrected formation energy (meV per atom): -2827

Entry 7:
Below is a geometry-optimized Ba2HoOs3O12 structure, with properties calculated at the PBE-GGA level.

Structure (POSCAR):
```
Ba2HoOs3O12
1.0
7.2709 0.0067 0.0047
3.5965 6.3191 0.0047
3.5965 2.0935 5.9622
O Ba Ho Os
12 2 1 3
Direct
0.8941 0.3819 0.8941
0.9155 0.2948 0.2948
0.3819 0.8941 0.8941
0.7052 0.0845 0.7052
0.2948 0.2948 0.9155
0.2948 0.9155 0.2948
0.0845 0.7052 0.7052
0.1059 0.1059 0.6181
0.6181 0.1059 0.1059
0.8941 0.8941 0.3819
0.1059 0.6181 0.1059
0.7052 0.7052 0.0845
0.6365 0.6365 0.6365
0.3635 0.3635 0.3635
0.0000 0.0000 0.0000
0.5000 0.0000 0.0000
0.0000 0.0000 0.5000
0.0000 0.5000 0.0000
```

Uncorrected formation energy (meV per atom): -1764

Entry 8:
Below is a geometry-optimized TlGe2Au2 structure, with properties calculated at the PBE-GGA level.

Structure (POSCAR):
```
TlGe2Au2
1.0
-4.6108 -5.8745 -3.9667
4.8291 -6.0673 3.3722
-1.8239 -0.1499 2.3421
Ge Au Tl
4 4 2
Direct
0.8645 0.6355 0.0000
0.6355 0.1355 0.0000
0.3645 0.8645 0.0000
0.1355 0.3645 0.0000
0.6584 0.8416 0.5000
0.1584 0.6584 0.5000
0.3416 0.1584 0.5000
0.8416 0.3416 0.5000
0.0000 0.0000 0.0000
0.5000 0.5000 0.0000
```

Formation energy from the elements (meV/atom): 119

Copy entry 8 word for word.
Below is a geometry-optimized TlGe2Au2 structure, with properties calculated at the PBE-GGA level.

Structure (POSCAR):
```
TlGe2Au2
1.0
-4.6108 -5.8745 -3.9667
4.8291 -6.0673 3.3722
-1.8239 -0.1499 2.3421
Ge Au Tl
4 4 2
Direct
0.8645 0.6355 0.0000
0.6355 0.1355 0.0000
0.3645 0.8645 0.0000
0.1355 0.3645 0.0000
0.6584 0.8416 0.5000
0.1584 0.6584 0.5000
0.3416 0.1584 0.5000
0.8416 0.3416 0.5000
0.0000 0.0000 0.0000
0.5000 0.5000 0.0000
```

Formation energy from the elements (meV/atom): 119